# 1
{"formula": "Ti2SnSb", "functional": "PBE", "state": "relaxed", "lattice": [[4.530, 0.000, 0.000], [0.000, 4.530, 0.000], [0.000, 0.000, 3.863]], "species": ["Ti", "Ti", "Sn", "Sb"], "fractional_positions": [[0.000, 0.500, 0.000], [0.500, 0.000, 0.000], [0.000, 0.000, 0.500], [0.500, 0.500, 0.500]], "space_group": "P4/mmm (123)", "raw_formation_energy_ev_per_atom": -0.166, "m_tot_mub_per_cell": 0.00, "volume_a3_per_atom": 19.8, "e_tot_ev_per_atom": -6.14}

=====

# 2
{"formula": "Ti3SnSb", "functional": "PBE", "state": "relaxed", "lattice": [[6.827, -2.397, 0.000], [6.827, 2.397, 0.000], [-0.834, 0.000, 7.005]], "species": ["Ti", "Ti", "Ti", "Ti", "Ti", "Ti", "Sn", "Sn", "Sb", "Sb"], "fractional_positions": [[0.028, 0.028, 0.193], [0.182, 0.182, 0.952], [0.267, 0.267, 0.297], [0.733, 0.733, 0.703], [0.818, 0.818, 0.048], [0.972, 0.972, 0.807], [0.389, 0.389, 0.927], [0.611, 0.611, 0.073], [0.132, 0.132, 0.565], [0.868, 0.868, 0.435]], "space_group": "C2/m (12)", "raw_formation_energy_ev_per_atom": -0.121, "m_tot_mub_per_cell": 2.15, "de_polymorph_mev_per_atom": 0, "volume_a3_per_atom": 22.9, "e_tot_ev_per_atom": -6.48}